1.
12
Lattice="1.898 -6.566 0.000 1.898 6.566 0.000 0.000 0.000 10.713" Properties=species:S:1:pos:R:3 comment="HoMgCuTeS2 (PBE, optimized geometry)" dft_energy_ev_per_atom=-4.67 sg="No. 63" pbc="T T T"
Cu 1.898 -6.355 2.678
Cu 1.898 6.355 8.035
S 1.898 -4.851 4.432
S 1.898 4.851 6.282
S 1.898 4.851 9.788
S 1.898 -4.851 0.925
Mg 1.898 -2.553 8.035
Mg 1.898 2.553 2.678
Ho 1.898 0.000 5.357
Ho 1.898 0.000 0.000
Te 1.898 1.601 8.035
Te 1.898 -1.601 2.678

---

2.
12
Lattice="1.952 -6.668 0.000 1.952 6.668 0.000 0.000 0.000 10.912" Properties=species:S:1:pos:R:3 comment="HoMgCuTeSe2 (PBE, optimized geometry)" dft_energy_ev_per_atom=-4.37 sg="No. 63" pbc="T T T"
Te 1.952 5.174 2.728
Te 1.952 -5.174 8.184
Se 1.952 1.885 0.859
Se 1.952 -1.885 6.315
Se 1.952 -1.885 10.053
Se 1.952 1.885 4.597
Cu 1.952 -0.293 8.184
Cu 1.952 0.293 2.728
Ho 0.000 0.000 0.000
Ho 0.000 0.000 5.456
Mg 1.952 -3.971 2.728
Mg 1.952 3.971 8.184

---

3.
12
Lattice="2.023 -6.838 0.000 2.023 6.838 0.000 0.000 0.000 10.723" Properties=species:S:1:pos:R:3 comment="HoMgCuTe2Se (PBE, optimized geometry)" dft_energy_ev_per_atom=-4.14 sg="No. 63" pbc="T T T"
Te 2.023 -2.095 4.543
Te 2.023 2.095 9.904
Te 2.023 2.095 6.180
Te 2.023 -2.095 0.819
Ho 0.000 0.000 5.361
Ho 0.000 0.000 0.000
Mg 2.023 -3.316 8.042
Mg 2.023 3.316 2.681
Cu 2.023 0.243 8.042
Cu 2.023 -0.243 2.681
Se 2.023 5.575 8.042
Se 2.023 -5.575 2.681

---

4.
3
Lattice="2.271 1.311 3.708 -2.271 1.311 3.708 0.000 -2.622 3.708" Properties=species:S:1:pos:R:3 comment="HoCuMo (PBE, optimized geometry)" sg="No. 216" relative_energy_ev_per_fu=0.76 pbc="T T T"
Mo 0.000 0.000 2.781
Ho 0.000 0.000 0.000
Cu 0.000 0.000 8.344

---

5.
3
Lattice="2.473 -1.979 3.176 -1.546 -0.272 4.202 -1.257 -3.967 1.675" Properties=species:S:1:pos:R:3 comment="HoCuMo (PBE, optimized geometry)" sg="No. 216" relative_energy_ev_per_fu=0.00 pbc="T T T"
Mo 0.000 0.000 0.000
Cu -0.083 -1.555 2.263
Ho -0.248 -4.664 6.789

---

6.
8
Lattice="-1.753 1.908 2.127 2.070 -0.872 2.489 4.851 6.440 -1.777" Properties=species:S:1:pos:R:3 comment="HoCuN2 (PBE, optimized geometry)" dft_energy_ev_per_atom=-6.32 sg="No. 129" pbc="T T T"
Ho 0.593 2.905 0.525
Ho 4.416 4.052 0.006
Cu 0.158 0.518 2.308
Cu 0.000 0.000 0.000
N 2.426 3.220 -0.889
N 1.824 0.611 0.955
N 2.584 3.738 1.419
N 3.186 6.346 -0.425

---

7.
14
Lattice="-2.324 5.185 1.199 -5.038 -1.304 -2.577 1.574 -3.392 4.697" Properties=species:S:1:pos:R:3 comment="HoCu2N4 (PBE, optimized geometry)" dft_energy_ev_per_atom=-6.36 sg="No. 15" pbc="T T T"
N -1.394 -0.022 0.400
N -4.395 0.512 2.920
N -4.463 -0.636 2.162
N -4.562 2.705 0.771
N -1.326 1.126 1.158
N -1.227 -2.216 2.549
N -5.388 1.715 0.284
N -0.401 -1.226 3.035
Cu -3.681 1.941 -0.689
Cu -2.894 0.245 1.660
Cu -2.519 -0.652 -1.289
Cu -0.375 0.896 2.948
Ho -3.417 -2.793 1.560
Ho -2.372 3.282 1.760

---

8.
8
Lattice="3.355 0.000 0.000 0.000 3.355 0.000 0.000 0.000 8.312" Properties=species:S:1:pos:R:3 comment="YHoCu2N4 (PBE, optimized geometry)" dft_energy_ev_per_atom=-6.53 sg="No. 99" pbc="T T T"
Y 1.677 1.677 2.507
Cu 0.000 1.677 8.302
Cu 1.677 0.000 8.302
N 1.677 0.000 4.172
N 1.677 1.677 6.961
N 0.000 1.677 4.172
N 0.000 0.000 1.343
Ho 0.000 0.000 5.800

---

9.
3
Lattice="-0.601 2.323 -3.038 -3.783 -0.809 0.130 -0.901 4.833 3.874" Properties=species:S:1:pos:R:3 comment="NdHoCu (PBE, optimized geometry)" sg="No. 123" relative_energy_ev_per_fu=2.01 pbc="T T T"
Cu 0.000 0.000 0.000
Nd -2.192 0.757 -1.454
Ho -2.643 3.173 0.483

---

10.
6
Lattice="-2.146 3.454 3.708 2.146 -3.454 3.708 2.146 3.454 -3.708" Properties=species:S:1:pos:R:3 comment="NdHoCu4 (PBE, optimized geometry)" sg="No. 44" relative_energy_ev_per_fu=0.00 pbc="T T T"
Nd 0.000 3.454 0.302
Cu 0.000 2.060 4.924
Cu 2.146 2.036 -1.229
Cu 2.146 1.394 1.217
Cu 0.000 1.418 2.479
Ho 0.000 0.000 7.137

---

11.
3
Lattice="4.496 -1.546 1.211 2.398 2.107 3.725 0.701 -2.474 4.178" Properties=species:S:1:pos:R:3 comment="NdHoCu (PBE, optimized geometry)" sg="No. 216" relative_energy_ev_per_fu=0.00 pbc="T T T"
Nd 5.696 -1.435 6.836
Cu 0.000 0.000 0.000
Ho 1.899 -0.478 2.279

---

12.
6
Lattice="0.000 3.723 3.723 3.723 0.000 3.723 3.723 3.723 0.000" Properties=species:S:1:pos:R:3 comment="NdHoCu4 (PBE, optimized geometry)" sg="No. 216" relative_energy_ev_per_fu=0.75 pbc="T T T"
Cu 6.521 4.649 4.649
Cu 4.649 4.649 6.521
Cu 6.521 6.521 6.521
Cu 4.649 6.521 4.649
Ho 1.862 1.862 1.862
Nd 3.723 3.723 3.723